(1)
Here is crystalline AcGdZnIn at its relaxed geometry from Alexandria via LeMat-Bulk. Energies are from PBE-GGA.

```
AcGdZnIn
1.0
0.000 3.886 3.886
3.886 0.000 3.886
3.886 3.886 0.000
Ac Gd Zn In
1 1 1 1
direct
0.000 0.000 0.000 Ac
0.500 0.500 0.500 Gd
0.750 0.750 0.750 Zn
0.250 0.250 0.250 In
```

Properties
As for the magnetization: 1.987 μB/atom. The calculation puts the formation energy at -1.3 eV/f.u.

***

(2)
Here is crystalline Ac3GdIr at its relaxed geometry from Alexandria via LeMat-Bulk. Energies are from PBE-GGA.

```
Ac3GdIr
1.0
5.900 0.000 0.000
0.000 5.900 0.000
0.000 0.000 5.900
Ac Gd Ir
3 1 1
direct
0.000 0.000 0.500 Ac
0.000 0.500 0.000 Ac
0.500 0.000 0.000 Ac
0.500 0.500 0.500 Gd
0.000 0.000 0.000 Ir
```

Properties
As for the magnetization: 1.674 μB/atom. The calculation puts the formation energy at -1.0 eV/f.u.

***

(3)
Here is crystalline AcGdIr at its relaxed geometry from Alexandria via LeMat-Bulk. Energies are from PBE-GGA.

```
AcGdIr
1.0
4.272 0.000 0.000
-2.136 3.700 0.000
0.000 0.000 6.541
Ac Gd Ir
1 1 1
direct
0.000 0.000 0.000 Ac
0.333 0.667 0.545 Gd
0.667 0.333 0.750 Ir
```

Properties
As for the magnetization: 2.414 μB/atom. The calculation puts the formation energy at -1.7 eV/f.u. The value obtained for the offset from the most stable computed form is 0.0000 eV/atom.